## La8GaSe3Br4 (PBE-GGA)

Data for a relaxed La8GaSe3Br4 crystal.

```
data_La8GaSe3Br4
_space_group_name_H-M_alt 'R -3 m'
_space_group_IT_number 166
_space_group_name_Hall '-R 3 2"'
_cell_length_a 8.7183
_cell_length_b 8.7183
_cell_length_c 21.5256
_cell_angle_alpha 90.00
_cell_angle_beta 90.00
_cell_angle_gamma 120.00
loop_
_atom_site_label
_atom_site_fract_x
_atom_site_fract_y
_atom_site_fract_z
_atom_site_occupancy
La1 0.0000 0.0000 0.2416 1
La2 0.0016 0.5008 0.2418 1
Ga1 0.0000 0.0000 0.5000 1
Se1 0.0000 0.5000 0.5000 1
Br1 0.0000 0.0000 0.0000 1
Br2 0.0000 0.5000 0.0000 1
```

Properties
DFT total energy (hartree per atom): -0.192
Raw formation energy (eV/atom): -1.498